1.
The following is a PBE calculation of an optimized crystal structure of P2OsSe, from the Alexandria database.

Summary:
Fermi-level density of states ... 0.667 states/eV per cell
Raw total energy ... -25.09 eV/cell

Geometry as POSCAR:
```
P2OsSe
1.0
3.872 -0.001 0.002
-1.147 4.468 -0.001
-0.017 -0.210 4.844
P Os Se
2 1 1
Cartesian
1.287 2.043 4.456
1.304 1.853 2.282
3.227 2.193 0.892
3.854 -0.059 1.948
```

2.
The following is a PBE calculation of an optimized crystal structure of TmSnTe3Au, from the Alexandria database.

Summary:
Raw total energy ... -50.02 eV/cell

Geometry as POSCAR:
```
TmSnTe3Au
1.0
-4.317 -0.159 0.109
0.151 -7.074 -4.313
0.357 -2.586 10.370
Tm Sn Te Au
2 2 6 2
Cartesian
-0.907 -5.564 -1.180
-2.902 -4.255 7.346
-0.928 -2.991 1.719
-2.881 -6.829 4.446
-3.031 -7.387 -2.300
-0.778 -2.433 8.466
-0.806 -6.201 1.864
-3.003 -3.618 4.302
-3.130 -3.456 -0.485
-0.679 -6.364 6.650
-0.845 -2.498 5.734
-2.964 -7.322 0.431
```

3.
The following is a PBE calculation of an optimized crystal structure of DyMnSi3Rh, from the Alexandria database.

Summary:
Fermi-level density of states ... 5.901 states/eV per cell
Raw total energy ... -79.60 eV/cell

Geometry as POSCAR:
```
DyMnSi3Rh
1.0
-3.655 -3.423 -2.050
2.141 -5.171 4.818
-4.733 4.373 1.137
Dy Mn Si Rh
2 2 6 2
Cartesian
-4.499 -1.710 0.165
-1.748 -2.512 3.741
-1.248 -0.693 -0.189
-4.999 -3.529 4.094
-2.680 0.006 1.197
0.516 -1.247 1.162
-0.203 -5.636 2.632
-1.311 -2.958 0.137
1.625 -3.924 3.657
-3.567 -4.227 2.708
-4.172 0.734 2.642
-2.075 -4.956 1.263
```

4.
The following is a PBE calculation of an optimized crystal structure of Mg2Be2Ir, from the Alexandria database.

Summary:
Fermi-level density of states ... 4.361 states/eV per cell
ΔE_f ... -70 meV per atom

Geometry as POSCAR:
```
Mg2Be2Ir
1.0
5.893 0.000 0.000
0.000 5.893 0.000
0.000 0.000 4.113
Be Mg Ir
4 4 2
Cartesian
2.130 5.076 0.000
5.076 3.763 0.000
3.763 0.817 0.000
0.817 2.130 0.000
1.070 4.016 2.056
4.016 4.823 2.056
4.823 1.877 2.056
1.877 1.070 2.056
0.000 0.000 0.000
2.946 2.946 0.000
```